# TlTcWAu2, relaxed, DFT PBE-GGA
# **Uncorrected energy**: -4.0782 eV/atom
# **Calculated formation energy**: 2.37 eV/atom
# **Total magnetization**: 5.92 Bohr magnetons per cell
# **Theoretical density**: 11.15 Mg/m³
data_TlTcWAu2
_cell_length_a 5.066
_cell_length_b 5.066
_cell_length_c 5.109
_cell_angle_alpha 90.00
_cell_angle_beta 90.00
_cell_angle_gamma 90.00
_space_group_name_H-M_alt 'P 4/m m m'
_space_group_IT_number 123
_space_group_name_Hall '-P 4 2'
loop_
_atom_site_label
_atom_site_fract_x
_atom_site_fract_y
_atom_site_fract_z
Tl1 0.000 0.000 0.000
Tc1 0.000 0.000 0.500
W1 0.500 0.500 0.500
Au1 0.000 0.500 0.000